! PBE TmLuRe, relaxed; values from VASP
&SYSTEM
  ibrav = 0, nat = 3, ntyp = 3
/
ATOMIC_SPECIES
Tm 168.93 Tm.upf
Lu 174.97 Lu.upf
Re 186.21 Re.upf
CELL_PARAMETERS angstrom
0.000 3.332 3.332
3.332 0.000 3.332
3.332 3.332 0.000
ATOMIC_POSITIONS angstrom
Tm 0.000 0.000 0.000
Lu 4.998 4.998 4.998
Re 3.332 3.332 3.332
! ΔH_f (0 K) (eV per atom): 1.090
! E (eV/atom): -6.050
! Distance to the lowest polymorph of the same formula (meV per atom): 0

! PBE CsBaHg4, relaxed; values from VASP
&SYSTEM
  ibrav = 0, nat = 6, ntyp = 3
/
ATOMIC_SPECIES
Cs 132.91 Cs.upf
Ba 137.33 Ba.upf
Hg 200.59 Hg.upf
CELL_PARAMETERS angstrom
-2.737 4.288 4.529
2.737 -4.288 4.529
2.737 4.288 -4.529
ATOMIC_POSITIONS angstrom
Cs 0.000 0.000 0.000
Ba 2.737 0.000 3.711
Hg 2.737 2.697 1.004
Hg 0.000 2.604 2.537
Hg 0.000 1.591 5.533
Hg 0.000 5.972 2.537
! E (eV/atom): -0.999

! PBE Th2Al5Au3, relaxed; values from VASP
&SYSTEM
  ibrav = 0, nat = 20, ntyp = 3
/
ATOMIC_SPECIES
Th 232.04 Th.upf
Al 26.98 Al.upf
Au 196.97 Au.upf
CELL_PARAMETERS angstrom
-5.335 6.125 3.117
5.335 -6.125 3.117
5.335 6.125 -3.117
ATOMIC_POSITIONS angstrom
Th 2.545 1.594 0.000
Th 2.545 -1.594 3.117
Th 2.790 7.719 0.000
Th 2.790 4.531 3.117
Al 5.335 -2.928 1.558
Al 6.876 1.411 0.000
Al 0.000 0.000 1.558
Al 1.541 4.714 0.000
Al 5.335 2.928 1.558
Al 0.000 3.197 1.558
Al 3.794 1.411 3.117
Al 0.000 0.000 4.675
Al -1.541 4.714 3.117
Al 0.000 9.053 1.558
Au 4.035 -4.539 3.117
Au 5.335 0.000 1.558
Au 4.035 4.539 0.000
Au 1.300 1.586 3.117
Au 0.000 6.125 1.558
Au 1.300 10.664 0.000
! E (eV/atom): -4.987

! PBE LuSnPO, relaxed; values from VASP
&SYSTEM
  ibrav = 0, nat = 8, ntyp = 4
/
ATOMIC_SPECIES
Lu 174.97 Lu.upf
Sn 118.71 Sn.upf
P 30.97 P.upf
O 16.00 O.upf
CELL_PARAMETERS angstrom
4.593 0.000 0.000
0.000 6.436 0.000
0.000 0.000 6.112
ATOMIC_POSITIONS angstrom
Lu 0.000 0.955 0.000
Lu 0.000 5.481 3.056
Sn 2.297 1.877 2.311
Sn 2.297 4.559 5.367
P 2.297 1.844 4.942
P 2.297 4.592 1.886
O 0.000 0.888 2.116
O 0.000 5.548 5.172
! E (eV/atom): -6.042
! Distance to the lowest polymorph of the same formula (meV per atom): 154

! PBE LiHo4Ge4, relaxed; values from VASP
&SYSTEM
  ibrav = 0, nat = 36, ntyp = 3
/
ATOMIC_SPECIES
Li 6.94 Li.upf
Ho 164.93 Ho.upf
Ge 72.64 Ge.upf
CELL_PARAMETERS angstrom
7.109 0.000 0.000
0.000 14.624 0.000
0.000 0.000 7.685
ATOMIC_POSITIONS angstrom
Li 1.137 3.656 0.199
Li 2.417 10.968 4.041
Li 4.692 3.656 3.644
Li 5.971 10.968 7.486
Ho 0.109 8.738 5.278
Ho 0.109 13.198 5.278
Ho 1.219 9.183 1.352
Ho 1.219 12.753 1.352
Ho 2.335 1.871 5.195
Ho 2.335 5.441 5.195
Ho 3.445 1.426 1.435
Ho 3.445 5.886 1.435
Ho 3.663 8.738 6.250
Ho 3.663 13.198 6.250
Ho 4.774 9.183 2.490
Ho 4.774 12.753 2.490
Ho 5.889 1.871 6.333
Ho 5.889 5.441 6.333
Ho 7.000 1.426 2.407
Ho 7.000 5.886 2.407
Ge 0.119 3.656 4.496
Ge 1.190 0.537 7.425
Ge 1.190 6.775 7.425
Ge 1.536 10.968 6.628
Ge 2.018 3.656 2.785
Ge 2.365 7.849 3.583
Ge 2.365 14.088 3.583
Ge 3.435 10.968 0.654
Ge 3.673 3.656 7.031
Ge 4.744 0.537 4.102
Ge 4.744 6.775 4.102
Ge 5.090 10.968 4.899
Ge 5.573 3.656 1.057
Ge 5.919 7.849 0.260
Ge 5.919 14.088 0.260
Ge 6.990 10.968 3.189
! E (eV/atom): -5.127

! PBE Ni2SbOs, relaxed; values from VASP
&SYSTEM
  ibrav = 0, nat = 4, ntyp = 3
/
ATOMIC_SPECIES
Ni 58.69 Ni.upf
Sb 121.76 Sb.upf
Os 190.23 Os.upf
CELL_PARAMETERS angstrom
0.000 3.045 3.045
3.045 0.000 3.045
3.045 3.045 0.000
ATOMIC_POSITIONS angstrom
Ni 0.000 0.000 0.000
Ni 1.522 1.522 1.522
Sb 3.045 3.045 3.045
Os 4.567 4.567 4.567
! E (eV/atom): -6.416

! PBE NaSiSbOs, relaxed; values from VASP
&SYSTEM
  ibrav = 0, nat = 4, ntyp = 4
/
ATOMIC_SPECIES
Na 22.99 Na.upf
Si 28.09 Si.upf
Sb 121.76 Sb.upf
Os 190.23 Os.upf
CELL_PARAMETERS angstrom
0.000 3.227 3.227
3.227 0.000 3.227
3.227 3.227 0.000
ATOMIC_POSITIONS angstrom
Na 0.000 0.000 0.000
Si 1.613 1.613 1.613
Sb 4.840 4.840 4.840
Os 3.227 3.227 3.227
! E (eV/atom): -5.246
! Distance to the lowest polymorph of the same formula (meV per atom): 0

! PBE CoNiBAu, relaxed; values from VASP
&SYSTEM
  ibrav = 0, nat = 4, ntyp = 4
/
ATOMIC_SPECIES
Co 58.93 Co.upf
Ni 58.69 Ni.upf
B 10.81 B.upf
Au 196.97 Au.upf
CELL_PARAMETERS angstrom
0.000 2.844 2.844
2.844 0.000 2.844
2.844 2.844 0.000
ATOMIC_POSITIONS angstrom
Co 0.000 0.000 0.000
Ni 1.422 1.422 1.422
B 4.266 4.266 4.266
Au 2.844 2.844 2.844
! E (eV/atom): -5.061
! Distance to the lowest polymorph of the same formula (meV per atom): 0

! PBE CsKFe, relaxed; values from VASP
&SYSTEM
  ibrav = 0, nat = 3, ntyp = 3
/
ATOMIC_SPECIES
Cs 132.91 Cs.upf
K 39.10 K.upf
Fe 55.84 Fe.upf
CELL_PARAMETERS angstrom
0.000 4.345 4.345
4.345 0.000 4.345
4.345 4.345 0.000
ATOMIC_POSITIONS angstrom
Cs 0.000 0.000 0.000
K 2.172 2.172 2.172
Fe 6.517 6.517 6.517
! E (eV/atom): -2.209
! Distance to the lowest polymorph of the same formula (meV per atom): 176

! PBE TmTlBiSe3, relaxed; values from VASP
&SYSTEM
  ibrav = 0, nat = 12, ntyp = 4
/
ATOMIC_SPECIES
Tm 168.93 Tm.upf
Tl 204.38 Tl.upf
Bi 208.98 Bi.upf
Se 78.96 Se.upf
CELL_PARAMETERS angstrom
1.987 -7.568 0.000
1.987 7.568 0.000
0.000 0.000 11.814
ATOMIC_POSITIONS angstrom
Tm 0.000 0.000 0.000
Tm 0.000 0.000 5.907
Tl 1.987 2.793 8.860
Tl 1.987 -2.793 2.953
Bi 1.987 1.931 2.953
Bi 1.987 -1.931 8.860
Se 1.987 7.249 2.953
Se 1.987 1.982 0.071
Se 1.987 1.982 5.836
Se 1.987 -1.982 5.978
Se 1.987 -1.982 11.743
Se 1.987 -7.249 8.860
! E (eV/atom): -4.417
! Distance to the lowest polymorph of the same formula (meV per atom): 65

! PBE Pm2HCl2, relaxed; values from VASP
&SYSTEM
  ibrav = 0, nat = 10, ntyp = 3
/
ATOMIC_SPECIES
Pm 145.00 Pm.upf
H 1.01 H.upf
Cl 35.45 Cl.upf
CELL_PARAMETERS angstrom
9.849 -1.947 0.000
9.849 1.947 0.000
-0.722 0.000 6.762
ATOMIC_POSITIONS angstrom
Pm 3.187 0.000 2.652
Pm 6.289 0.000 0.724
Pm 12.685 0.000 6.038
Pm 15.788 0.000 4.110
H 4.026 0.000 0.460
H 14.949 0.000 6.302
Cl 1.268 0.000 4.724
Cl 7.541 0.000 5.451
Cl 11.434 0.000 1.311
Cl 17.707 0.000 2.038
! E (eV/atom): -4.743

! PBE LiHgSb2, relaxed; values from VASP
&SYSTEM
  ibrav = 0, nat = 4, ntyp = 3
/
ATOMIC_SPECIES
Li 6.94 Li.upf
Hg 200.59 Hg.upf
Sb 121.76 Sb.upf
CELL_PARAMETERS angstrom
0.000 3.688 3.688
3.688 0.000 3.688
3.688 3.688 0.000
ATOMIC_POSITIONS angstrom
Li 0.000 0.000 0.000
Hg 1.844 1.844 1.844
Sb 3.688 3.688 3.688
Sb 5.532 5.532 5.532
! E (eV/atom): -2.629